Version i
This record from Alexandria describes an optimized crystal structure of YTm2Pt. The functional is PBE.

Output
Size of the total moment, μB per atom: 0.0002

Lattice parameters (Å, degrees): 6.3686 6.3686 9.0643 90.00 90.00 145.18
Sites, in units of the cell vectors:
Y: 0.0621 0.9379 0.7500
Y: 0.9379 0.0621 0.2500
Tm: 0.3615 0.6385 0.5617
Tm: 0.3615 0.6385 0.9383
Tm: 0.6385 0.3615 0.0617
Tm: 0.6385 0.3615 0.4383
Pt: 0.2419 0.7581 0.2500
Pt: 0.7581 0.2419 0.7500



Version ii
This record from Alexandria describes an optimized crystal structure of YTm2Pt. The functional is PBE.

Output
Size of the total moment, μB per atom: 0.0004

Lattice parameters (Å, degrees): 9.2414 9.2414 9.2414 24.23 24.23 24.23
Sites, in units of the cell vectors:
Y: 0.0000 0.0000 0.0000
Tm: 0.5585 0.5585 0.5585
Tm: 0.7708 0.7708 0.7708
Pt: 0.1642 0.1642 0.1642



Relative calculated energies, zero for the most stable structure, unit eV/atom: version i 0.000; version ii 0.155.



Version i
This record from Alexandria describes an optimized crystal structure of YTm2Pt. The functional is PBE.

Output
Size of the total moment, μB per atom: 0.0007

Lattice parameters (Å, degrees): 3.5310 3.5310 8.3661 90.00 90.00 90.00
Sites, in units of the cell vectors:
Y: 0.0000 0.0000 0.0000
Tm: 0.5000 0.5000 0.3064
Tm: 0.5000 0.5000 0.6936
Pt: 0.0000 0.0000 0.5000



Version ii
This record from Alexandria describes an optimized crystal structure of YTm2Pt. The functional is PBE.

Output
Size of the total moment, μB per atom: 0.0004

Lattice parameters (Å, degrees): 9.5669 9.5669 9.5669 22.95 22.95 22.95
Sites, in units of the cell vectors:
Y: 0.0000 0.0000 0.0000
Tm: 0.2275 0.2275 0.2275
Tm: 0.7725 0.7725 0.7725
Pt: 0.5000 0.5000 0.5000



Relative calculated energies, zero for the most stable structure, unit eV/atom: version i 0.000; version ii 0.106.



Version i
This record from Alexandria describes an optimized crystal structure of YTmZnPt. The functional is PBE.

Output
Size of the total moment, μB per atom: 0.0000

Lattice parameters (Å, degrees): 3.5292 3.5292 6.9254 90.00 90.00 90.00
Sites, in units of the cell vectors:
Y: 0.0000 0.0000 0.0000
Tm: 0.0000 0.0000 0.5136
Zn: 0.5000 0.5000 0.2635
Pt: 0.5000 0.5000 0.7442



Version ii
This record from Alexandria describes an optimized crystal structure of YTmZnPt. The functional is PBE.

Output
Size of the total moment, μB per atom: 0.0000

Lattice parameters (Å, degrees): 4.9578 4.9578 4.9578 60.00 60.00 60.00
Sites, in units of the cell vectors:
Y: 0.0000 0.0000 0.0000
Tm: 0.5000 0.5000 0.5000
Zn: 0.7500 0.7500 0.7500
Pt: 0.2500 0.2500 0.2500



Relative calculated energies, zero for the most stable structure, unit eV/atom: version i 0.000; version ii 0.017.